A plane-wave DFT calculation with PBE was carried out for Ac5La2Pm after structural relaxation.

```
data_Ac5La2Pm
_chemical_formula_sum 'Ac20 La8 Pm4'
_cell_length_a 5.845
_cell_length_b 12.707
_cell_length_c 18.143
_cell_angle_alpha 90.00
_cell_angle_beta 90.00
_cell_angle_gamma 90.00
_space_group_name_H-M_alt 'C m c m'
_space_group_IT_number 63
_space_group_name_Hall '-C 2c 2'
loop_
_atom_site_label
_atom_site_fract_x
_atom_site_fract_y
_atom_site_fract_z
Ac1 0.000 0.008 0.250
Ac2 0.000 0.142 0.544
Ac3 0.000 0.446 0.600
La1 0.000 0.256 0.144
Pm1 0.000 0.268 0.750
```

Computed properties:
crystal system: orthorhombic
DFT formation energy: 100 meV per atom